No. 1
The following is a DFT calculation (PBE) of an optimized crystal structure of CuTe2Os.

Calculated values
relative energy among the computed polymorphs = 0.0527 eV per atom
crystal system = monoclinic

abc: 4.333 4.909 4.357
angles: 90.00 108.89 90.00
Fractional coordinates of all 4 atoms:
Cu 0.000 0.000 0.000
Te 0.365 0.000 0.632
Te 0.833 0.500 0.166
Os 0.202 0.500 0.797

=====

No. 2
The following is a DFT calculation (PBE) of an optimized crystal structure of CuTeOs.

Calculated values
relative energy among the computed polymorphs = 0.0846 eV per atom
crystal system = tetragonal

abc: 4.788 4.788 4.788
angles: 137.87 137.87 61.10
Fractional coordinates of all 3 atoms:
Cu 0.000 0.000 0.000
Te 0.320 0.320 0.000
Os 0.660 0.660 0.000

=====

No. 3
The following is a DFT calculation (PBE) of an optimized crystal structure of CuTeOs2.

Calculated values
energy = -6.742 eV/atom
crystal system = monoclinic

abc: 4.526 4.526 4.988
angles: 100.36 100.36 39.05
Fractional coordinates of all 4 atoms:
Cu 0.000 0.000 0.000
Te 0.500 0.500 0.500
Os 0.251 0.251 0.775
Os 0.749 0.749 0.225

=====

No. 4
The following is a DFT calculation (PBE) of an optimized crystal structure of CuTeOs.

Calculated values
relative energy among the computed polymorphs = 0.1159 eV per atom
crystal system = tetragonal

abc: 6.012 6.012 6.012
angles: 149.67 149.67 43.43
Fractional coordinates of all 3 atoms:
Cu 0.000 0.000 0.000
Te 0.273 0.273 0.000
Os 0.637 0.637 0.000

=====

No. 5
The following is a DFT calculation (PBE) of an optimized crystal structure of CuTeOs.

Calculated values
relative energy among the computed polymorphs = 0.4410 eV per atom
crystal system = orthorhombic

abc: 7.258 6.971 2.993
angles: 83.30 72.52 24.18
Fractional coordinates of all 3 atoms:
Cu 0.000 0.000 0.000
Te 0.309 0.309 0.691
Os 0.647 0.647 0.353

=====

No. 6
The following is a DFT calculation (PBE) of an optimized crystal structure of CuTe2Os.

Calculated values
relative energy among the computed polymorphs = 0.2427 eV per atom
crystal system = cubic

abc: 4.739 4.739 4.739
angles: 60.00 60.00 60.00
Fractional coordinates of all 4 atoms:
Cu 0.000 0.000 0.000
Te 0.250 0.250 0.250
Te 0.750 0.750 0.750
Os 0.500 0.500 0.500

=====

Taking the records one at a time from the top gives V values of 88, 49, 63, 55, 54, 75 Å³ per cell.